Version P
AcDyCd4: relaxed, GGA-PBE.

Cell: 5.028 5.028 7.542 Å, 90.00 90.00 120.00°
Atoms (fractional coordinates):
Ac 0.000 0.000 0.000
Dy 0.000 0.000 0.500
Cd 0.333 0.667 0.284
Cd 0.333 0.667 0.716
Cd 0.667 0.333 0.284
Cd 0.667 0.333 0.716

Properties
Space-group type: No. 191
Total magnetic moment, μB per formula unit: 0.00

---

Version Q
AcDyCd4: relaxed, GGA-PBE.

Cell: 6.071 6.071 6.071 Å, 60.00 60.00 60.00°
Atoms (fractional coordinates):
Ac 0.000 0.000 0.000
Dy 0.250 0.250 0.250
Cd 0.127 0.624 0.624
Cd 0.624 0.127 0.624
Cd 0.624 0.624 0.127
Cd 0.624 0.624 0.624

Properties
Space-group type: No. 216
Total magnetic moment, μB per formula unit: 0.00

---

Version R
AcDyCd4: relaxed, GGA-PBE.

Cell: 3.600 5.093 8.866 Å, 90.00 90.20 90.00°
Atoms (fractional coordinates):
Ac 0.000 0.000 0.000
Dy 0.000 0.500 0.500
Cd 0.497 0.000 0.658
Cd 0.499 0.500 0.820
Cd 0.501 0.500 0.180
Cd 0.503 0.000 0.342

Properties
Space-group type: No. 10
Total magnetic moment, μB per formula unit: 0.00

---

Most stable one: version P, least stable one: version Q.

---

Version P
Ac2DyCd2: relaxed, GGA-PBE.

Cell: 7.005 7.005 7.005 Å, 145.81 114.21 76.27°
Atoms (fractional coordinates):
Ac 0.218 0.218 0.000
Ac 0.782 0.782 0.000
Dy 0.500 0.000 0.500
Cd 0.197 0.500 0.697
Cd 0.803 0.500 0.303

Properties
Space-group type: No. 71
Total magnetic moment, μB per formula unit: 0.00

---

Version Q
Ac2DyCd2: relaxed, GGA-PBE.

Cell: 11.301 11.301 3.853 Å, 90.00 90.00 160.02°
Atoms (fractional coordinates):
Ac 0.174 0.826 0.000
Ac 0.826 0.174 0.000
Dy 0.000 0.000 0.000
Cd 0.425 0.575 0.500
Cd 0.575 0.425 0.500

Properties
Space-group type: No. 65
Total magnetic moment, μB per formula unit: 0.67

---

Most stable one: version Q, least stable one: version P.

---

Version P
AcDyCdHg: relaxed, GGA-PBE.

Cell: 5.536 5.536 5.536 Å, 60.00 60.00 60.00°
Atoms (fractional coordinates):
Ac 0.000 0.000 0.000
Dy 0.500 0.500 0.500
Cd 0.750 0.750 0.750
Hg 0.250 0.250 0.250

Properties
Space-group type: No. 216
Total magnetic moment, μB per formula unit: 0.61

---

Version Q
AcDyCdHg: relaxed, GGA-PBE.

Cell: 3.844 3.844 7.990 Å, 90.00 90.00 90.00°
Atoms (fractional coordinates):
Ac 0.000 0.000 0.000
Dy 0.000 0.000 0.506
Cd 0.500 0.500 0.284
Hg 0.500 0.500 0.713

Properties
Space-group type: No. 99
Total magnetic moment, μB per formula unit: 0.25

---

Most stable one: version Q, least stable one: version P.

---

Version P
AcLaDyCd: relaxed, GGA-PBE.

Cell: 5.724 5.724 5.724 Å, 60.00 60.00 60.00°
Atoms (fractional coordinates):
Ac 0.000 0.000 0.000
La 0.750 0.750 0.750
Dy 0.250 0.250 0.250
Cd 0.500 0.500 0.500

Properties
Space-group type: No. 216
Total magnetic moment, μB per formula unit: 0.00

---

Version Q
AcLaDyCd: relaxed, GGA-PBE.

Cell: 3.828 3.828 9.125 Å, 90.00 90.00 90.00°
Atoms (fractional coordinates):
Ac 0.000 0.000 0.000
La 0.500 0.500 0.704
Dy 0.500 0.500 0.280
Cd 0.000 0.000 0.472

Properties
Space-group type: No. 99
Total magnetic moment, μB per formula unit: 0.00

---

Most stable one: version Q, least stable one: version P.

---

Version P
AcTbDyCd: relaxed, GGA-PBE.

Cell: 3.775 3.775 8.980 Å, 90.00 90.00 90.00°
Atoms (fractional coordinates):
Ac 0.000 0.000 0.000
Tb 0.500 0.500 0.706
Dy 0.500 0.500 0.293
Cd 0.000 0.000 0.498

Properties
Space-group type: No. 99
Total magnetic moment, μB per formula unit: 0.00

---

Version Q
AcTbDyCd: relaxed, GGA-PBE.

Cell: 5.623 5.623 5.623 Å, 60.00 60.00 60.00°
Atoms (fractional coordinates):
Ac 0.000 0.000 0.000
Tb 0.250 0.250 0.250
Dy 0.750 0.750 0.750
Cd 0.500 0.500 0.500

Properties
Space-group type: No. 216
Total magnetic moment, μB per formula unit: 0.00

---

Most stable one: version P, least stable one: version Q.

---

Version P
AcDyTlCd: relaxed, GGA-PBE.

Cell: 3.917 3.917 7.952 Å, 90.00 90.00 90.00°
Atoms (fractional coordinates):
Ac 0.000 0.000 0.000
Dy 0.000 0.000 0.488
Tl 0.500 0.500 0.713
Cd 0.500 0.500 0.279

Properties
Space-group type: No. 99
Total magnetic moment, μB per formula unit: 0.00

---

Version Q
AcDyTlCd: relaxed, GGA-PBE.

Cell: 5.595 5.595 5.595 Å, 60.00 60.00 60.00°
Atoms (fractional coordinates):
Ac 0.000 0.000 0.000
Dy 0.500 0.500 0.500
Tl 0.750 0.750 0.750
Cd 0.250 0.250 0.250

Properties
Space-group type: No. 216
Total magnetic moment, μB per formula unit: 0.00

---

Most stable one: version P, least stable one: version Q.

---

Version P
AcEr3Cd2: relaxed, GGA-PBE.

Cell: 8.667 8.667 8.939 Å, 114.14 114.14 36.87°
Atoms (fractional coordinates):
Ac 0.132 0.132 0.185
Ac 0.868 0.868 0.815
Er 0.066 0.066 0.721
Er 0.304 0.304 0.009
Er 0.385 0.385 0.469
Er 0.615 0.615 0.531
Er 0.696 0.696 0.991
Er 0.934 0.934 0.279
Cd 0.229 0.229 0.610
Cd 0.496 0.496 0.837
Cd 0.504 0.504 0.163
Cd 0.771 0.771 0.390

Properties
Space-group type: No. 12
Total magnetic moment, μB per formula unit: 0.00

---

Version Q
AcEr3Cd2: relaxed, GGA-PBE.

Cell: 3.733 3.733 12.713 Å, 90.00 90.00 90.00°
Atoms (fractional coordinates):
Ac 0.000 0.000 0.000
Er 0.500 0.500 0.210
Er 0.500 0.500 0.500
Er 0.500 0.500 0.790
Cd 0.000 0.000 0.355
Cd 0.000 0.000 0.645

Properties
Space-group type: No. 123
Total magnetic moment, μB per formula unit: 0.00

---

Most stable one: version Q, least stable one: version P.

---

Version P
AcEr2Cd: relaxed, GGA-PBE.

Cell: 12.156 12.156 12.156 Å, 16.90 16.90 16.90°
Atoms (fractional coordinates):
Ac 0.000 0.000 0.000
Er 0.099 0.099 0.099
Er 0.901 0.901 0.901
Cd 0.500 0.500 0.500

Properties
Space-group type: No. 166
Total magnetic moment, μB per formula unit: 0.00

---

Version Q
AcEr2Cd: relaxed, GGA-PBE.

Cell: 11.159 11.159 11.159 Å, 19.10 19.10 19.10°
Atoms (fractional coordinates):
Ac 0.000 0.000 0.000
Er 0.239 0.239 0.239
Er 0.428 0.428 0.428
Cd 0.834 0.834 0.834

Properties
Space-group type: No. 160
Total magnetic moment, μB per formula unit: 0.00

---

Version R
AcEr2Cd: relaxed, GGA-PBE.

Cell: 3.737 3.737 9.016 Å, 90.00 90.00 90.00°
Atoms (fractional coordinates):
Ac 0.000 0.000 0.000
Er 0.500 0.500 0.296
Er 0.500 0.500 0.704
Cd 0.000 0.000 0.500

Properties
Space-group type: No. 123
Total magnetic moment, μB per formula unit: 0.00

---

Version S
AcEr2Cd: relaxed, GGA-PBE.

Cell: 4.965 4.965 5.104 Å, 90.00 90.00 90.00°
Atoms (fractional coordinates):
Ac 0.000 0.000 0.000
Er 0.000 0.500 0.500
Er 0.500 0.000 0.500
Cd 0.500 0.500 0.000

Properties
Space-group type: No. 123
Total magnetic moment, μB per formula unit: 0.28

---

Most stable one: version R, least stable one: version P.